Record 1
# LiSiB | Alexandria | GGA-PBE | optimized geometry
# Formation energy without anion corrections: -71 meV/atom
# Calculated total energy: -4.74 eV per atom
data_LiSiB
_chemical_formula_sum 'Li4 Si4 B4'
_cell_length_a 5.871
_cell_length_b 8.005
_cell_length_c 3.509
_cell_angle_alpha 90.00
_cell_angle_beta 90.00
_cell_angle_gamma 90.00
_space_group_name_H-M_alt 'C m m m'
_space_group_IT_number 65
_space_group_name_Hall '-C 2 2'
loop_
_atom_site_label
_atom_site_type_symbol
_atom_site_fract_x
_atom_site_fract_y
_atom_site_fract_z
Li1 Li 0.000 0.220 0.000
Si1 Si 0.199 0.000 0.500
B1 B 0.143 0.500 0.000

---

Record 2
# HoPuInRh | Alexandria | GGA-PBE | optimized geometry
# Calculated total energy: -7.57 eV per atom
# Formation energy from the elements: -316 meV/atom
data_HoPuInRh
_chemical_formula_sum 'Ho4 Pu4 In4 Rh4'
_cell_length_a 7.204
_cell_length_b 7.204
_cell_length_c 7.204
_cell_angle_alpha 90.00
_cell_angle_beta 90.00
_cell_angle_gamma 90.00
_space_group_name_H-M_alt 'F -4 3 m'
_space_group_IT_number 216
_space_group_name_Hall 'F -4 2 3'
loop_
_atom_site_label
_atom_site_type_symbol
_atom_site_fract_x
_atom_site_fract_y
_atom_site_fract_z
Ho1 Ho 0.000 0.000 0.000
Pu1 Pu 0.000 0.000 0.500
In1 In 0.250 0.250 0.250
Rh1 Rh 0.250 0.250 0.750

---

Record 3
# SmDy2Cd3 | Alexandria | GGA-PBE | optimized geometry
# Calculated total energy: -3.09 eV per atom
# Formation energy from the elements: -316 meV/atom
data_SmDy2Cd3
_chemical_formula_sum 'Sm4 Dy8 Cd12'
_cell_length_a 5.302
_cell_length_b 15.925
_cell_length_c 7.601
_cell_angle_alpha 90.00
_cell_angle_beta 90.00
_cell_angle_gamma 90.00
_space_group_name_H-M_alt 'C m m m'
_space_group_IT_number 65
_space_group_name_Hall '-C 2 2'
loop_
_atom_site_label
_atom_site_type_symbol
_atom_site_fract_x
_atom_site_fract_y
_atom_site_fract_z
Sm1 Sm 0.000 0.166 0.000
Dy1 Dy 0.000 0.168 0.500
Dy2 Dy 0.000 0.500 0.000
Dy3 Dy 0.000 0.500 0.500
Cd1 Cd 0.000 0.000 0.257
Cd2 Cd 0.000 0.335 0.256